1.
LiAgRhCl2: optimized geometry, PBE-GGA.

As for the density: 5.0 g/cm3. The total moment comes out at 1.2 μB/f.u.

Unit cell a=4.4621 b=4.4621 c=4.8123 alpha=90.00 beta=90.00 gamma=90.00
Space group P4/mmm (No. 123)
One atom of each set of equivalent atoms:
Li: 0.0000 0.0000 0.0000 [1 per cell]
Ag: 0.0000 0.0000 0.5000 [1 per cell]
Rh: 0.5000 0.5000 0.5000 [1 per cell]
Cl: 0.0000 0.5000 0.0000 [2 per cell]

***

2.
LiAgRhCl6: optimized geometry, PBE-GGA.

As for the density: 3.6 g/cm3. The total moment comes out at 0.0 μB/f.u.

Unit cell a=6.2778 b=6.2778 c=11.5001 alpha=90.00 beta=90.00 gamma=120.00
Space group P-31c (No. 163)
One atom of each set of equivalent atoms:
Li: 0.3333 0.6667 0.2500 [2 per cell]
Ag: 0.0000 0.0000 0.0000 [2 per cell]
Rh: 0.3333 0.6667 0.7500 [2 per cell]
Cl: 0.0203 0.3688 0.6315 [12 per cell]

***

3.
Li2AgRuCl8: optimized geometry, PBE-GGA.

As for the density: 2.9 g/cm3. The total moment comes out at 1.8 μB/f.u.

Unit cell a=6.1455 b=6.3459 c=7.7891 alpha=83.93 beta=83.42 gamma=77.63
Space group P-1 (No. 2)
One atom of each set of equivalent atoms:
Li: 0.0595 0.0592 0.2447 [2 per cell]
Ag: 0.5000 0.5000 0.5000 [1 per cell]
Ru: 0.5000 0.5000 0.0000 [1 per cell]
Cl: 0.2029 0.8215 0.4992 [2 per cell]
Cl: 0.2206 0.8195 0.9922 [2 per cell]
Cl: 0.2862 0.3446 0.2283 [2 per cell]
Cl: 0.3295 0.3627 0.7978 [2 per cell]

***

4.
LiAgRuCl6: optimized geometry, PBE-GGA.

As for the density: 3.5 g/cm3. The total moment comes out at 2.0 μB/f.u.

Unit cell a=6.3208 b=6.3208 c=11.6550 alpha=90.00 beta=90.00 gamma=120.00
Space group P-31c (No. 163)
One atom of each set of equivalent atoms:
Li: 0.3333 0.6667 0.2500 [2 per cell]
Ag: 0.0000 0.0000 0.0000 [2 per cell]
Ru: 0.3333 0.6667 0.7500 [2 per cell]
Cl: 0.0217 0.3694 0.6336 [12 per cell]

***

5.
LiAgSCl2: optimized geometry, PBE-GGA.

As for the density: 2.3 g/cm3. The total moment comes out at 1.4 μB/f.u.

Unit cell a=4.7788 b=4.7788 c=6.9174 alpha=90.00 beta=90.00 gamma=90.00
Space group P4/mmm (No. 123)
One atom of each set of equivalent atoms:
Li: 0.0000 0.0000 0.0000 [1 per cell]
Ag: 0.0000 0.0000 0.5000 [1 per cell]
S: 0.5000 0.5000 0.0000 [1 per cell]
Cl: 0.0000 0.5000 0.5000 [2 per cell]

***

6.
LiAgSCl2: optimized geometry, PBE-GGA.

As for the density: 3.4 g/cm3. The total moment comes out at 2.0 μB/f.u.

Unit cell a=4.8102 b=4.8102 c=4.6313 alpha=90.00 beta=90.00 gamma=90.00
Space group P4/mmm (No. 123)
One atom of each set of equivalent atoms:
Li: 0.0000 0.0000 0.0000 [1 per cell]
Ag: 0.5000 0.5000 0.5000 [1 per cell]
S: 0.0000 0.0000 0.5000 [1 per cell]
Cl: 0.0000 0.5000 0.0000 [2 per cell]

***

| no. | raw total energy (eV per cell) |
| --- | --- |
| 1 | -15.04 |
| 2 | -60.01 |
| 3 | -41.17 |
| 4 | -64.04 |
| 5 | -12.58 |
| 6 | -13.25 |